[1]
GGA-PBE KPuSeO6, optimized geometry; M_tot = 1.0 μB per formula unit; energy relative to the elements, uncorrected = -1747 meV/atom
1.0
5.5708 0.0000 0.0000
0.0746 5.9056 0.0000
0.0268 2.7711 5.2746
K Pu Se O
1 1 1 6
Direct
0.0000 0.0000 0.0000
0.4947 0.6505 0.6724
0.4726 0.2381 0.4245
0.2837 0.6289 0.9162
0.2939 0.0026 0.3966
0.2971 0.3361 0.6052
0.6691 0.0157 0.6492
0.6885 0.6784 0.4131
0.7013 0.4082 0.9188



[2]
GGA-PBE KPuSeO, optimized geometry; M_tot = 5.0 μB per formula unit; energy relative to the elements, uncorrected = -1848 meV/atom
1.0
1.9160 1.1062 7.1725
-1.9160 1.1062 7.1725
0.0000 -2.2124 7.1725
K Pu Se O
1 1 1 1
Direct
0.0000 0.0000 0.0000
0.4764 0.4764 0.4764
0.2290 0.2290 0.2290
0.7670 0.7670 0.7670



[3]
GGA-PBE KPu2SeO8, optimized geometry; M_tot = 5.0 μB per formula unit; energy relative to the elements, uncorrected = -1879 meV/atom
1.0
5.4149 0.0000 0.0000
0.9923 5.3491 0.0000
0.5064 0.4192 6.9403
K Pu Se O
1 2 1 8
Direct
0.0000 0.0000 0.0000
0.4953 0.4955 0.2583
0.5047 0.5045 0.7417
0.0000 0.0000 0.5000
0.1889 0.7875 0.6983
0.2137 0.8120 0.3016
0.3416 0.3443 0.4820
0.3499 0.3521 0.9670
0.6501 0.6479 0.0330
0.6584 0.6557 0.5180
0.7863 0.1880 0.6984
0.8111 0.2125 0.3017



[4]
GGA-PBE KPuSe2O8, optimized geometry; M_tot = 1.0 μB per formula unit; energy relative to the elements, uncorrected = -1338 meV/atom
1.0
6.2672 0.0000 0.0000
-3.1336 5.4275 0.0000
0.0000 0.0000 7.3714
K Pu Se O
1 1 2 8
Direct
0.0000 0.0000 0.0000
0.0000 0.0000 0.5000
0.3333 0.6667 0.3036
0.6667 0.3333 0.6964
0.1502 0.3003 0.3371
0.1502 0.8498 0.3371
0.3003 0.1502 0.6629
0.3333 0.6667 0.0823
0.6667 0.3333 0.9177
0.6997 0.8498 0.3371
0.8498 0.1502 0.6629
0.8498 0.6997 0.6629



[5]
GGA-PBE KPuSi2O6, optimized geometry; M_tot = 5.0 μB per formula unit; energy relative to the elements, uncorrected = -2625 meV/atom
1.0
5.2987 -5.4335 0.0000
5.2987 5.4335 0.0000
-0.4686 0.0000 4.9248
K Pu Si O
2 2 4 12
Direct
0.0893 0.9107 0.7500
0.9107 0.0893 0.2500
0.2964 0.7036 0.2500
0.7036 0.2964 0.7500
0.1944 0.3665 0.7272
0.3665 0.1944 0.2272
0.6335 0.8056 0.7728
0.8056 0.6335 0.2728
0.0080 0.2579 0.7227
0.1940 0.5699 0.8376
0.2579 0.0080 0.2227
0.2671 0.3581 0.4093
0.3581 0.2671 0.9093
0.4301 0.8060 0.6624
0.5699 0.1940 0.3376
0.6419 0.7329 0.0907
0.7329 0.6419 0.5907
0.7421 0.9920 0.7773
0.8060 0.4301 0.1624
0.9920 0.7421 0.2773



[6]
GGA-PBE KPuSiO6, optimized geometry; M_tot = 1.0 μB per formula unit; energy relative to the elements, uncorrected = -2230 meV/atom
1.0
5.1210 0.0000 0.0000
-2.5605 4.4349 0.0000
0.0000 0.0000 6.0809
K Pu Si O
1 1 1 6
Direct
0.0000 0.0000 0.0000
0.3333 0.6667 0.5000
0.6667 0.3333 0.5000
0.3877 0.0311 0.6706
0.3877 0.3566 0.3294
0.6434 0.0311 0.3294
0.6434 0.6123 0.6706
0.9689 0.3566 0.6706
0.9689 0.6123 0.3294



[7]
GGA-PBE K2PuSi2O6, optimized geometry; M_tot = 4.0 μB per formula unit; energy relative to the elements, uncorrected = -2493 meV/atom
1.0
2.9236 1.6879 5.9788
-2.9236 1.6879 5.9788
0.0000 -3.3759 5.9788
K Pu Si O
2 1 2 6
Direct
0.2201 0.2201 0.2201
0.7799 0.7799 0.7799
0.0000 0.0000 0.0000
0.4344 0.4344 0.4344
0.5656 0.5656 0.5656
0.2516 0.2516 0.7191
0.2516 0.7191 0.2516
0.2809 0.7484 0.7484
0.7191 0.2516 0.2516
0.7484 0.2809 0.7484
0.7484 0.7484 0.2809



[8]
GGA-PBE KPuSiO5, optimized geometry; M_tot = 3.0 μB per formula unit; energy relative to the elements, uncorrected = -2624 meV/atom
1.0
3.6147 -4.7447 0.0000
3.6147 4.7447 0.0000
-3.3546 0.0000 7.1196
K Pu Si O
2 2 2 10
Direct
0.1639 0.8361 0.7500
0.8361 0.1639 0.2500
0.5000 0.5000 0.0000
0.5000 0.5000 0.5000
0.1880 0.8120 0.2500
0.8120 0.1880 0.7500
0.1040 0.2685 0.8874
0.2067 0.6293 0.3771
0.2685 0.1040 0.3874
0.3707 0.7933 0.1229
0.4356 0.5644 0.7500
0.5644 0.4356 0.2500
0.6293 0.2067 0.8771
0.7315 0.8960 0.6126
0.7933 0.3707 0.6229
0.8960 0.7315 0.1126



[9]
GGA-PBE KPu2SiO8, optimized geometry; M_tot = 5.0 μB per formula unit; energy relative to the elements, uncorrected = -2330 meV/atom
1.0
4.8572 0.0000 0.0000
0.4698 4.8362 0.0000
0.5490 0.4931 6.9815
K Pu Si O
1 2 1 8
Direct
0.0000 0.0000 0.0000
0.4753 0.4752 0.2658
0.5247 0.5248 0.7342
0.0000 0.0000 0.5000
0.1698 0.7954 0.6795
0.2055 0.8308 0.3203
0.2891 0.2899 0.4941
0.3411 0.3428 0.9547
0.6589 0.6572 0.0453
0.7109 0.7101 0.5059
0.7945 0.1692 0.6797
0.8302 0.2046 0.3205



[10]
GGA-PBE K2PuSiO6, optimized geometry; M_tot = 2.0 μB per formula unit; energy relative to the elements, uncorrected = -2259 meV/atom
1.0
0.0000 3.9497 3.9497
3.9497 0.0000 3.9497
3.9497 3.9497 0.0000
K Pu Si O
2 1 1 6
Direct
0.2500 0.2500 0.2500
0.7500 0.7500 0.7500
0.0000 0.0000 0.0000
0.5000 0.5000 0.5000
0.2671 0.2671 0.7329
0.2671 0.7329 0.2671
0.2671 0.7329 0.7329
0.7329 0.2671 0.2671
0.7329 0.2671 0.7329
0.7329 0.7329 0.2671



[11]
GGA-PBE KSmPu2O8, optimized geometry; M_tot = 4.0 μB per formula unit; energy relative to the elements, uncorrected = -2469 meV/atom
1.0
-2.7577 2.7577 5.2241
2.7577 -2.7577 5.2241
2.7577 2.7577 -5.2241
K Sm Pu O
1 1 2 8
Direct
0.0000 0.0000 0.0000
0.2500 0.7500 0.5000
0.5000 0.5000 0.0000
0.7500 0.2500 0.5000
0.1330 0.1568 0.5468
0.1330 0.5863 0.9763
0.4137 0.3900 0.5468
0.4137 0.8670 0.0237
0.6100 0.1568 0.0237
0.6100 0.5863 0.4532
0.8432 0.3900 0.9763
0.8432 0.8670 0.4532



[12]
GGA-PBE K2SmPu3O12, optimized geometry; M_tot = 5.0 μB per formula unit; energy relative to the elements, uncorrected = -2499 meV/atom
1.0
4.0722 2.3511 5.2267
-4.0722 2.3511 5.2267
0.0000 -4.7021 5.2267
K Sm Pu O
2 1 3 12
Direct
0.1113 0.1113 0.1113
0.8887 0.8887 0.8887
0.5000 0.5000 0.5000
0.0000 0.5000 0.5000
0.5000 0.0000 0.5000
0.5000 0.5000 0.0000
0.0779 0.6376 0.6376
0.2486 0.2486 0.5973
0.2486 0.5973 0.2486
0.3624 0.3624 0.9221
0.3624 0.9221 0.3624
0.4027 0.7514 0.7514
0.5973 0.2486 0.2486
0.6376 0.0779 0.6376
0.6376 0.6376 0.0779
0.7514 0.4027 0.7514
0.7514 0.7514 0.4027
0.9221 0.3624 0.3624



[13]
GGA-PBE K3Sm2PuO6, optimized geometry; M_tot = 5.0 μB per formula unit; energy relative to the elements, uncorrected = -2552 meV/atom
1.0
3.1072 -5.3817 0.0000
3.1072 5.3817 0.0000
-2.0725 0.0000 6.2866
K Sm Pu O
3 2 1 6
Direct
0.0000 0.0000 0.0000
0.3333 0.6667 0.0000
0.6667 0.3333 0.0000
0.1667 0.8333 0.5000
0.8333 0.1667 0.5000
0.5000 0.5000 0.5000
0.1050 0.4369 0.3108
0.2312 0.2312 0.6890
0.4369 0.1050 0.3108
0.5631 0.8950 0.6892
0.7688 0.7688 0.3110
0.8950 0.5631 0.6892



[14]
GGA-PBE KPuSn2O8, optimized geometry; M_tot = 1.0 μB per formula unit; energy relative to the elements, uncorrected = -1721 meV/atom
1.0
5.1876 0.0000 0.0000
0.0000 6.5825 0.0000
-0.1849 0.0000 5.1935
K Pu Sn O
1 1 2 8
Direct
0.0000 0.0000 0.0000
0.0000 0.5000 0.0000
0.5000 0.2483 0.5000
0.5000 0.7517 0.5000
0.1974 0.3035 0.1962
0.1974 0.6965 0.1962
0.3155 0.5000 0.6834
0.3280 0.0000 0.6695
0.6720 0.0000 0.3305
0.6845 0.5000 0.3166
0.8026 0.3035 0.8038
0.8026 0.6965 0.8038



[15]
GGA-PBE K2SrPu2O7, optimized geometry; M_tot = 6.0 μB per formula unit; energy relative to the elements, uncorrected = -2610 meV/atom
1.0
-2.1593 2.1593 11.0099
2.1593 -2.1593 11.0099
2.1593 2.1593 -11.0099
K Sr Pu O
2 1 2 7
Direct
0.1917 0.1917 0.0000
0.8083 0.8083 0.0000
0.0000 0.0000 0.0000
0.4037 0.4037 0.0000
0.5963 0.5963 0.0000
0.0854 0.5854 0.5000
0.3137 0.3137 0.0000
0.4146 0.9146 0.5000
0.5000 0.5000 0.0000
0.5854 0.0854 0.5000
0.6863 0.6863 0.0000
0.9146 0.4146 0.5000



[16]
GGA-PBE KSrPu2O8, optimized geometry; M_tot = 3.0 μB per formula unit; energy relative to the elements, uncorrected = -2216 meV/atom
1.0
-2.8323 2.8323 5.2088
2.8323 -2.8323 5.2088
2.8323 2.8323 -5.2088
K Sr Pu O
1 1 2 8
Direct
0.0000 0.0000 0.0000
0.2500 0.7500 0.5000
0.5000 0.5000 0.0000
0.7500 0.2500 0.5000
0.0962 0.1560 0.5348
0.1655 0.5963 0.9836
0.4037 0.3873 0.5692
0.4387 0.9038 0.0599
0.6127 0.1819 0.0164
0.6212 0.5613 0.4652
0.8181 0.8345 0.4308
0.8440 0.3788 0.9401



[17]
GGA-PBE K2SrPu3O12, optimized geometry; M_tot = 4.0 μB per formula unit; energy relative to the elements, uncorrected = -2437 meV/atom
1.0
4.0257 2.3242 5.5836
-4.0257 2.3242 5.5836
0.0000 -4.6485 5.5836
K Sr Pu O
2 1 3 12
Direct
0.1147 0.1147 0.1147
0.8853 0.8853 0.8853
0.5000 0.5000 0.5000
0.0000 0.5000 0.5000
0.5000 0.0000 0.5000
0.5000 0.5000 0.0000
0.0699 0.6295 0.6295
0.2304 0.2304 0.6033
0.2304 0.6033 0.2304
0.3705 0.3705 0.9301
0.3705 0.9301 0.3705
0.3967 0.7696 0.7696
0.6033 0.2304 0.2304
0.6295 0.0699 0.6295
0.6295 0.6295 0.0699
0.7696 0.3967 0.7696
0.7696 0.7696 0.3967
0.9301 0.3705 0.3705



[18]
GGA-PBE KSr2PuO5, optimized geometry; M_tot = 3.0 μB per formula unit; energy relative to the elements, uncorrected = -2643 meV/atom
1.0
-2.1483 3.1636 5.9306
2.1483 -3.1636 5.9306
2.1483 3.1636 -5.9306
K Sr Pu O
1 2 1 5
Direct
0.0000 0.0000 0.0000
0.2778 0.7778 0.5000
0.7222 0.2222 0.5000
0.5000 0.5000 0.0000
0.1419 0.3647 0.7771
0.4124 0.6353 0.7771
0.5000 0.0000 0.5000
0.5876 0.3647 0.2229
0.8581 0.6353 0.2229



[19]
GGA-PBE KSr2PuO6, optimized geometry; M_tot = 1.0 μB per formula unit; energy relative to the elements, uncorrected = -2603 meV/atom
1.0
6.0236 0.0000 0.0000
0.0000 6.4005 0.0000
-5.8171 0.0000 8.8217
K Sr Pu O
2 4 2 12
Direct
0.0000 0.0000 0.0000
0.0000 0.5000 0.5000
0.2155 0.0425 0.7287
0.2155 0.4575 0.2287
0.7845 0.5425 0.7713
0.7845 0.9575 0.2713
0.5000 0.0000 0.5000
0.5000 0.5000 0.0000
0.1890 0.1596 0.4698
0.1890 0.3404 0.9698
0.2434 0.7439 0.8933
0.2434 0.7561 0.3933
0.4265 0.1026 0.2992
0.4265 0.3974 0.7992
0.5735 0.6026 0.2008
0.5735 0.8974 0.7008
0.7566 0.2439 0.6067
0.7566 0.2561 0.1067
0.8110 0.6596 0.0302
0.8110 0.8404 0.5302



[20]
GGA-PBE K2Sr2PuO6, optimized geometry; M_tot = 2.0 μB per formula unit; energy relative to the elements, uncorrected = -2462 meV/atom
1.0
3.1721 -5.3440 0.0000
3.1721 5.3440 0.0000
-1.9523 0.0000 6.3442
K Sr Pu O
2 2 1 6
Direct
0.1644 0.8356 0.0000
0.8356 0.1644 0.0000
0.3368 0.6632 0.5000
0.6632 0.3368 0.5000
0.0000 0.0000 0.5000
0.0471 0.3382 0.6776
0.2154 0.2154 0.3171
0.3382 0.0471 0.6776
0.6618 0.9529 0.3224
0.7846 0.7846 0.6829
0.9529 0.6618 0.3224